Record 1
A plane-wave DFT calculation with PBE was carried out for a relaxed structure of NdPa2PtN5.

## Properties
Theoretical density in kg/m3: 11349
Electronic total energy in eV per formula unit: -80.425
Crystal system: tetragonal

Cell: 6.5879 6.5879 11.7517 Å, 90.00 90.00 90.00°
Closest atoms and distances in Å follow each position.
Space group I4/mcm (No. 140)
Unique sites:
1 Nd 0.0000 0.0000 0.2500 (multiplicity 4)  10 N 2.92-2.94
2 Pa 0.1729 0.3271 0.0000 (multiplicity 8)  2 N 2.17
3 Pt 0.0000 0.5000 0.2500 (multiplicity 4)  4 N 2.07
4 N 0.0000 0.0000 0.0000 (multiplicity 4)  4 Pa 2.44
5 N 0.1524 0.3476 0.3777 (multiplicity 16)  1 Pt 2.07, 1 Pa 2.17

Record 2
A plane-wave DFT calculation with PBE was carried out for a relaxed structure of PuSc2Re.

## Properties
Formation energy in kJ per mole of atoms: 6.4
Theoretical density in kg/m3: 9814
Electronic total energy in eV per formula unit: -39.180
Crystal system: tetragonal

Cell: 3.2397 3.2397 8.3850 Å, 90.00 90.00 90.00°
Closest atoms and distances in Å follow each position.
Space group P4/mmm (No. 123)
Unique sites:
1 Pu 0.0000 0.0000 0.0000 (multiplicity 1)  4 Pu 3.24, 8 Sc 3.48
2 Sc 0.5000 0.5000 0.3117 (multiplicity 2)  4 Re 2.78
3 Re 0.0000 0.0000 0.5000 (multiplicity 1)  8 Sc 2.78

Record 3
A plane-wave DFT calculation with PBE was carried out for a relaxed structure of Al3CdOs.

## Properties
Formation energy in kJ per mole of atoms: 6.6
Theoretical density in kg/m3: 5776
Electronic total energy in eV per formula unit: -23.029
E above lowest polymorph in meV per atom: 0.0
Crystal system: cubic

Cell: 4.7955 4.7955 4.7955 Å, 90.00 90.00 90.00°
Closest atoms and distances in Å follow each position.
Space group Pm-3m (No. 221)
Unique sites:
1 Al 0.0000 0.0000 0.5000 (multiplicity 3)  2 Os 2.40
2 Cd 0.5000 0.5000 0.5000 (multiplicity 1)  12 Al 3.39
3 Os 0.0000 0.0000 0.0000 (multiplicity 1)  6 Al 2.40

Record 4
A plane-wave DFT calculation with PBE was carried out for a relaxed structure of CeErBiC.

## Properties
Formation energy in kJ per mole of atoms: -53.3
Theoretical density in kg/m3: 8794
Electronic total energy in eV per formula unit: -25.812
Crystal system: tetragonal

Cell: 4.6710 4.6710 9.1450 Å, 90.00 90.00 90.00°
Closest atoms and distances in Å follow each position.
Space group P4/nmm (No. 129, origin choice 2)
Unique sites:
1 Ce 0.2500 0.2500 0.1791 (multiplicity 2)  1 C 2.14
2 Er 0.2500 0.7500 0.5000 (multiplicity 2)  4 C 2.47
3 Bi 0.2500 0.2500 0.8039 (multiplicity 2)  5 Ce 3.31-3.43, 1 C 3.57, 4 Er 3.63
4 C 0.2500 0.2500 0.4136 (multiplicity 2)  1 Ce 2.14

Record 5
A plane-wave DFT calculation with PBE was carried out for a relaxed structure of Cs2PaS5.

## Properties
Theoretical density in kg/m3: 3532
Electronic total energy in eV per formula unit: -40.068
Crystal system: triclinic

Cell: 5.5094 7.6122 8.8471 Å, 114.88 90.17 111.01°
Closest atoms and distances in Å follow each position.
Space group P1 (No. 1)
Unique sites:
1 Cs 0.0000 0.0000 0.0000 (multiplicity 1)  8 S 3.49-3.90
2 Cs 0.3616 0.7181 0.3313 (multiplicity 1)  5 S 3.38-3.65
3 Pa 0.2086 0.4153 0.6815 (multiplicity 1)  5 S 2.47-2.66
4 S 0.3936 0.7880 0.7352 (multiplicity 1)  1 Pa 2.47
5 S 0.4077 0.2433 0.4214 (multiplicity 1)  1 S 2.36, 1 Pa 2.59
6 S 0.5280 0.4424 0.9231 (multiplicity 1)  1 S 2.15
7 S 0.8367 0.2431 0.4213 (multiplicity 1)  1 S 2.36, 1 Pa 2.59
8 S 0.9178 0.4423 0.9228 (multiplicity 1)  1 S 2.15

Record 6
A plane-wave DFT calculation with PBE was carried out for a relaxed structure of NaMg2Zn2.

## Properties
Formation energy in kJ per mole of atoms: 3.9
Theoretical density in kg/m3: 2894
Electronic total energy in eV per formula unit: -6.856
E above lowest polymorph in meV per atom: 69.1
Crystal system: tetragonal

Cell: 4.4129 4.4129 11.9273 Å, 90.00 90.00 90.00°
Closest atoms and distances in Å follow each position.
Space group I4/mmm (No. 139)
Unique sites:
1 Na 0.0000 0.0000 0.0000 (multiplicity 2)  8 Zn 3.35, 8 Mg 3.71
2 Mg 0.0000 0.5000 0.2500 (multiplicity 4)  4 Zn 2.82, 4 Mg 3.12
3 Zn 0.0000 0.0000 0.3969 (multiplicity 4)  1 Zn 2.46